{
  "formula": "TeRhOF2",
  "functional": "PBE-GGA",
  "state": "optimized geometry",
  "lattice": [[4.522, 0.000, 0.000], [0.000, 4.522, 0.000], [0.000, 0.000, 4.136]],
  "species": ["Te", "Rh", "O", "F", "F"],
  "frac_coords": [[0.000, 0.000, 0.000], [0.500, 0.500, 0.500], [0.000, 0.000, 0.500], [0.000, 0.500, 0.000], [0.500, 0.000, 0.000]],
  "dos_at_fermi_per_ev_fu": 3.70,
  "de_polymorph_ev_per_atom": 0.165,
  "raw_formation_energy_mev_per_atom": -302
}

***

{
  "formula": "LiCoHg3",
  "functional": "PBE-GGA",
  "state": "optimized geometry",
  "lattice": [[5.015, 0.000, 0.000], [0.000, 5.015, 0.000], [0.000, 0.000, 5.015]],
  "species": ["Li", "Co", "Hg", "Hg", "Hg"],
  "frac_coords": [[0.000, 0.000, 0.000], [0.500, 0.500, 0.500], [0.000, 0.500, 0.500], [0.500, 0.000, 0.500], [0.500, 0.500, 0.000]],
  "dos_at_fermi_per_ev_fu": 2.55,
  "de_polymorph_ev_per_atom": 0.000,
  "ef_ev_per_atom": 0.1987
}

***

{
  "formula": "Tb12Sb3C5",
  "functional": "PBE-GGA",
  "state": "optimized geometry",
  "lattice": [[-7.944, 7.944, 7.944], [7.944, -7.944, 7.944], [7.944, 7.944, -7.944]],
  "species": ["Tb", "Tb", "Tb", "Tb", "Tb", "Tb", "Tb", "Tb", "Tb", "Tb", "Tb", "Tb", "Tb", "Tb", "Tb", "Tb", "Tb", "Tb", "Tb", "Tb", "Tb", "Tb", "Tb", "Tb", "Tb", "Tb", "Tb", "Tb", "Tb", "Tb", "Tb", "Tb", "Tb", "Tb", "Tb", "Tb", "Tb", "Tb", "Tb", "Tb", "Tb", "Tb", "Tb", "Tb", "Tb", "Tb", "Tb", "Tb", "Sb", "Sb", "Sb", "Sb", "Sb", "Sb", "Sb", "Sb", "Sb", "Sb", "Sb", "Sb", "C", "C", "C", "C", "C", "C", "C", "C", "C", "C", "C", "C", "C", "C", "C", "C", "C", "C", "C", "C"],
  "frac_coords": [[0.017, 0.200, 0.113], [0.017, 0.317, 0.904], [0.087, 0.700, 0.683], [0.087, 0.887, 0.404], [0.096, 0.613, 0.413], [0.096, 0.983, 0.683], [0.113, 0.017, 0.200], [0.113, 0.596, 0.913], [0.183, 0.200, 0.587], [0.183, 0.483, 0.596], [0.200, 0.113, 0.017], [0.200, 0.587, 0.183], [0.300, 0.317, 0.913], [0.300, 0.483, 0.387], [0.317, 0.904, 0.017], [0.317, 0.913, 0.300], [0.387, 0.300, 0.483], [0.387, 0.587, 0.904], [0.404, 0.087, 0.887], [0.404, 0.817, 0.517], [0.413, 0.096, 0.613], [0.413, 0.817, 0.800], [0.483, 0.387, 0.300], [0.483, 0.596, 0.183], [0.517, 0.404, 0.817], [0.517, 0.613, 0.700], [0.587, 0.183, 0.200], [0.587, 0.904, 0.387], [0.596, 0.183, 0.483], [0.596, 0.913, 0.113], [0.613, 0.413, 0.096], [0.613, 0.700, 0.517], [0.683, 0.087, 0.700], [0.683, 0.096, 0.983], [0.700, 0.517, 0.613], [0.700, 0.683, 0.087], [0.800, 0.413, 0.817], [0.800, 0.887, 0.983], [0.817, 0.517, 0.404], [0.817, 0.800, 0.413], [0.887, 0.404, 0.087], [0.887, 0.983, 0.800], [0.904, 0.017, 0.317], [0.904, 0.387, 0.587], [0.913, 0.113, 0.596], [0.913, 0.300, 0.317], [0.983, 0.683, 0.096], [0.983, 0.800, 0.887], [0.125, 0.250, 0.375], [0.125, 0.375, 0.750], [0.250, 0.375, 0.125], [0.250, 0.875, 0.625], [0.375, 0.125, 0.250], [0.375, 0.750, 0.125], [0.625, 0.250, 0.875], [0.625, 0.875, 0.750], [0.750, 0.125, 0.375], [0.750, 0.625, 0.875], [0.875, 0.625, 0.250], [0.875, 0.750, 0.625], [0.000, 0.000, 0.000], [0.000, 0.000, 0.500], [0.000, 0.500, 0.000], [0.000, 0.500, 0.500], [0.125, 0.750, 0.875], [0.125, 0.875, 0.250], [0.250, 0.125, 0.875], [0.250, 0.625, 0.375], [0.375, 0.250, 0.625], [0.375, 0.625, 0.750], [0.500, 0.000, 0.000], [0.500, 0.000, 0.500], [0.500, 0.500, 0.000], [0.500, 0.500, 0.500], [0.625, 0.375, 0.250], [0.625, 0.750, 0.375], [0.750, 0.375, 0.625], [0.750, 0.875, 0.125], [0.875, 0.125, 0.750], [0.875, 0.250, 0.125]],
  "dos_at_fermi_per_ev_fu": 12.98,
  "raw_formation_energy_mev_per_atom": -396
}

***

{
  "formula": "LiHf2Se4",
  "functional": "PBE-GGA",
  "state": "optimized geometry",
  "lattice": [[1.891, -6.246, 0.000], [1.891, 6.246, 0.000], [0.000, 0.000, 13.309]],
  "species": ["Li", "Li", "Hf", "Hf", "Hf", "Hf", "Se", "Se", "Se", "Se", "Se", "Se", "Se", "Se"],
  "frac_coords": [[0.100, 0.900, 0.750], [0.900, 0.100, 0.250], [0.367, 0.633, 0.568], [0.367, 0.633, 0.932], [0.633, 0.367, 0.068], [0.633, 0.367, 0.432], [0.000, 0.000, 0.000], [0.000, 0.000, 0.500], [0.277, 0.723, 0.119], [0.277, 0.723, 0.381], [0.451, 0.549, 0.750], [0.549, 0.451, 0.250], [0.723, 0.277, 0.619], [0.723, 0.277, 0.881]],
  "dos_at_fermi_per_ev_fu": 2.23,
  "de_polymorph_ev_per_atom": 0.087,
  "raw_formation_energy_mev_per_atom": -1233
}

***

{
  "formula": "SiGeCl",
  "functional": "PBE-GGA",
  "state": "optimized geometry",
  "lattice": [[6.897, 0.000, 0.000], [0.000, 3.984, 0.000], [-2.177, 0.000, 11.526]],
  "species": ["Si", "Si", "Si", "Si", "Ge", "Ge", "Ge", "Ge", "Cl", "Cl", "Cl", "Cl"],
  "frac_coords": [[0.222, 0.000, 0.175], [0.278, 0.500, 0.825], [0.722, 0.500, 0.175], [0.778, 0.000, 0.825], [0.034, 0.500, 0.108], [0.466, 0.000, 0.892], [0.534, 0.000, 0.108], [0.966, 0.500, 0.892], [0.222, 0.500, 0.645], [0.278, 0.000, 0.355], [0.722, 0.000, 0.645], [0.778, 0.500, 0.355]],
  "de_polymorph_ev_per_atom": 0.000,
  "raw_formation_energy_mev_per_atom": -452
}

***

{
  "formula": "LiLa3Ag2",
  "functional": "PBE-GGA",
  "state": "optimized geometry",
  "lattice": [[5.341, 0.000, 0.000], [0.000, 16.237, 0.000], [0.000, 0.000, 3.906]],
  "species": ["Li", "Li", "La", "La", "La", "La", "La", "La", "Ag", "Ag", "Ag", "Ag"],
  "frac_coords": [[0.000, 0.000, 0.000], [0.500, 0.500, 0.000], [0.000, 0.176, 0.500], [0.000, 0.500, 0.500], [0.000, 0.824, 0.500], [0.500, 0.000, 0.500], [0.500, 0.324, 0.500], [0.500, 0.676, 0.500], [0.000, 0.345, 0.000], [0.000, 0.655, 0.000], [0.500, 0.155, 0.000], [0.500, 0.845, 0.000]],
  "dos_at_fermi_per_ev_fu": 6.08,
  "ef_ev_per_atom": -0.1462
}

***

Magnetization per entry: 1.34 0.00 0.00 0.00 0.00 0.00 μB/cell